(1)
{"formula": "LaAgIr2", "functional": "meta-GGA SCAN", "state": "PBEsol geometry", "magmom_total_mub_per_cell": 1.27, "formation_enthalpy_0k_ev_per_atom": 0.21, "total_energy_ev_per_atom": -53.96, "e_above_lowest_polymorph_ev_per_atom": 0.028, "cell": [[0.0000, 3.3343, 3.3343], [3.3343, 0.0000, 3.3343], [3.3343, 3.3343, 0.0000]], "species": ["La", "Ag", "Ir", "Ir"], "frac_coords": [[0.0000, 0.0000, 0.0000], [0.7500, 0.7500, 0.7500], [0.2500, 0.2500, 0.2500], [0.5000, 0.5000, 0.5000]]}

(2)
{"formula": "KAlRuRh2", "functional": "meta-GGA SCAN", "state": "PBEsol geometry", "magmom_total_mub_per_cell": 0.00, "formation_enthalpy_0k_ev_per_atom": 0.68, "total_energy_ev_per_atom": -23.01, "cell": [[4.7138, 0.0000, 0.0000], [0.0000, 4.7138, 0.0000], [0.0000, 0.0000, 4.7568]], "species": ["K", "Al", "Ru", "Rh", "Rh"], "frac_coords": [[0.0000, 0.0000, 0.0000], [0.5000, 0.5000, 0.0000], [0.5000, 0.5000, 0.5000], [0.0000, 0.5000, 0.5000], [0.5000, 0.0000, 0.5000]]}

(3)
{"formula": "MgGePd", "functional": "meta-GGA SCAN", "state": "PBEsol geometry", "magmom_total_mub_per_cell": 0.00, "formation_enthalpy_0k_ev_per_atom": -0.57, "total_energy_ev_per_atom": -19.51, "cell": [[-2.1094, 3.1978, 3.7409], [2.1094, -3.1978, 3.7409], [2.1094, 3.1978, -3.7409]], "species": ["Mg", "Mg", "Ge", "Ge", "Pd", "Pd"], "frac_coords": [[0.0000, 0.0000, 0.0000], [0.5817, 0.0817, 0.5000], [0.0078, 0.7094, 0.2984], [0.4110, 0.7094, 0.7016], [0.1593, 0.3833, 0.7760], [0.6072, 0.3833, 0.2240]]}